[1]
Crystalline Ca2Cu at its relaxed geometry. Source: Alexandria, functional PBE.

## Properties
DOS at the Fermi energy = 2.1 states/eV/f.u.
formation enthalpy at 0 K = -0.11 eV per atom
calculated total energy = -2.81 eV/atom
density = 2.6 g/cm3

Cell: 4.191 6.044 14.435 Å, 90.00 90.00 90.00°
Atoms (fractional coordinates):
Ca 0.250 0.368 0.335
Ca 0.750 0.132 0.835
Ca 0.750 0.632 0.665
Ca 0.250 0.868 0.165
Ca 0.250 0.133 0.592
Ca 0.750 0.367 0.092
Ca 0.750 0.867 0.408
Ca 0.250 0.633 0.908
Cu 0.250 0.109 0.984
Cu 0.750 0.391 0.484
Cu 0.750 0.891 0.016
Cu 0.250 0.609 0.516



[2]
Crystalline KPtSe2 at its relaxed geometry. Source: Alexandria, functional PBE.

## Properties
DOS at the Fermi energy = 2.4 states/eV/f.u.
calculated total energy = -4.15 eV/atom
energy relative to the elements, uncorrected = -0.619 eV/atom
density = 5.8 g/cm3

Cell: 6.154 6.154 5.536 Å, 69.43 69.43 35.33°
Atoms (fractional coordinates):
K 0.558 0.558 0.468
Pt 0.313 0.313 0.014
Se 0.892 0.892 0.194
Se 0.737 0.737 0.824



[3]
Crystalline CsScNi3 at its relaxed geometry. Source: Alexandria, functional PBE.

## Properties
DOS at the Fermi energy = 7.1 states/eV/f.u.
excess energy over the best structure of this formula in the dataset = 3.940 eV per formula unit
formation enthalpy at 0 K = 1.74 eV per atom
calculated total energy = -3.17 eV/atom
density = 5.3 g/cm3

Cell: 4.803 4.803 4.803 Å, 90.00 90.00 90.00°
Atoms (fractional coordinates):
Cs 0.000 0.000 0.000
Ni 0.000 0.500 0.000
Ni 0.000 0.000 0.500
Ni 0.500 0.000 0.000
Sc 0.500 0.500 0.500



[4]
Crystalline Ta8TiNb2 at its relaxed geometry. Source: Alexandria, functional PBE.

## Properties
DOS at the Fermi energy = 17.5 states/eV/f.u.
formation enthalpy at 0 K = 0.01 eV per atom
calculated total energy = -11.16 eV/atom
density = 14.0 g/cm3

Cell: 3.316 7.415 8.555 Å, 75.44 78.83 89.92°
Atoms (fractional coordinates):
Ta 0.909 0.547 0.151
Ta 0.181 0.907 0.608
Ta 0.363 0.821 0.243
Ta 0.455 0.274 0.058
Ta 0.636 0.180 0.697
Ta 0.818 0.094 0.332
Ta 0.090 0.454 0.789
Ta 0.544 0.726 0.881
Ti 0.999 0.000 0.970
Nb 0.272 0.365 0.424
Nb 0.727 0.636 0.515



[5]
Crystalline ErPaInTc at its relaxed geometry. Source: Alexandria, functional PBE.

## Properties
DOS at the Fermi energy = 3.5 states/eV/f.u.
excess energy over the best structure of this formula in the dataset = 1.161 eV per formula unit
formation enthalpy at 0 K = 0.00 eV per atom
calculated total energy = -6.79 eV/atom
density = 11.1 g/cm3

Cell: 5.062 5.062 5.062 Å, 60.00 60.00 60.00°
Atoms (fractional coordinates):
Pa 0.500 0.500 0.500
In 0.750 0.750 0.750
Tc 0.250 0.250 0.250
Er 0.000 0.000 0.000



[6]
Crystalline HgPd6Pb3 at its relaxed geometry. Source: Alexandria, functional PBE.

## Properties
DOS at the Fermi energy = 3.9 states/eV/f.u.
formation enthalpy at 0 K = -0.11 eV per atom
calculated total energy = -4.37 eV/atom
density = 12.2 g/cm3

Cell: 5.238 8.889 8.889 Å, 105.49 90.00 90.00°
Atoms (fractional coordinates):
Hg 0.054 0.172 0.828
Hg 0.554 0.828 0.172
Pd 0.106 0.685 0.577
Pd 0.606 0.577 0.685
Pd 0.402 0.542 0.963
Pd 0.902 0.963 0.542
Pd 0.258 0.987 0.013
Pd 0.575 0.262 0.738
Pd 0.075 0.738 0.262
Pd 0.758 0.013 0.987
Pd 0.402 0.037 0.458
Pd 0.902 0.458 0.037
Pd 0.106 0.423 0.315
Pd 0.606 0.315 0.423
Pb 0.480 0.904 0.708
Pb 0.980 0.708 0.904
Pb 0.121 0.380 0.620
Pb 0.621 0.620 0.380
Pb 0.980 0.096 0.292
Pb 0.480 0.292 0.096



[7]
Crystalline Ru2RhW at its relaxed geometry. Source: Alexandria, functional PBE.

## Properties
DOS at the Fermi energy = 5.9 states/eV/f.u.
excess energy over the best structure of this formula in the dataset = 5.440 eV per formula unit
formation enthalpy at 0 K = 1.24 eV per atom
calculated total energy = -8.47 eV/atom
density = 9.4 g/cm3

Cell: 5.662 5.662 6.697 Å, 64.99 64.99 90.00°
Atoms (fractional coordinates):
Ru 0.621 0.125 0.250
Ru 0.129 0.625 0.250
Ru 0.375 0.379 0.750
Ru 0.875 0.871 0.750
Rh 0.500 0.500 0.000
Rh 0.250 0.750 0.500
W 0.000 0.000 0.000
W 0.750 0.250 0.500



[8]
Crystalline Ba3Cu at its relaxed geometry. Source: Alexandria, functional PBE.

## Properties
DOS at the Fermi energy = 5.0 states/eV/f.u.
formation enthalpy at 0 K = 0.22 eV per atom
calculated total energy = -2.25 eV/atom
density = 3.0 g/cm3

Cell: 6.416 6.416 6.416 Å, 90.00 90.00 90.00°
Atoms (fractional coordinates):
Ba 0.500 0.000 0.000
Ba 0.000 0.500 0.000
Ba 0.000 0.000 0.500
Cu 0.000 0.000 0.000



[9]
Crystalline Pm7CBr12 at its relaxed geometry. Source: Alexandria, functional PBE.

## Properties
DOS at the Fermi energy = 12.4 states/eV/f.u.
calculated total energy = -4.74 eV/atom
energy relative to the elements, uncorrected = -1.611 eV/atom
density = 5.2 g/cm3

Cell: 9.207 9.207 9.207 Å, 107.59 107.59 107.59°
Atoms (fractional coordinates):
Pm 0.968 0.695 0.897
Pm 0.305 0.103 0.032
Pm 0.103 0.032 0.305
Pm 0.500 0.500 0.500
Pm 0.897 0.968 0.695
Pm 0.695 0.897 0.968
Pm 0.032 0.305 0.103
C 0.000 0.000 0.000
Br 0.922 0.312 0.773
Br 0.688 0.227 0.078
Br 0.470 0.154 0.387
Br 0.846 0.613 0.530
Br 0.227 0.078 0.688
Br 0.613 0.530 0.846
Br 0.387 0.470 0.154
Br 0.773 0.922 0.312
Br 0.154 0.387 0.470
Br 0.530 0.846 0.613
Br 0.312 0.773 0.922
Br 0.078 0.688 0.227



[10]
Crystalline AcTiRhO6 at its relaxed geometry. Source: Alexandria, functional PBE.

## Properties
DOS at the Fermi energy = 3.8 states/eV/f.u.
calculated total energy = -7.67 eV/atom
energy relative to the elements, uncorrected = -2.210 eV/atom
density = 6.2 g/cm3

Cell: 5.237 5.237 10.768 Å, 90.00 90.00 120.00°
Atoms (fractional coordinates):
Ac 0.000 0.000 0.000
Ac 0.000 0.000 0.500
Ti 0.667 0.333 0.250
Ti 0.333 0.667 0.750
Rh 0.333 0.667 0.250
Rh 0.667 0.333 0.750
O 0.626 0.625 0.148
O 0.999 0.374 0.148
O 0.374 0.999 0.648
O 0.001 0.626 0.852
O 0.375 0.374 0.352
O 0.999 0.625 0.352
O 0.625 0.999 0.852
O 0.626 0.001 0.352
O 0.001 0.375 0.648
O 0.375 0.001 0.148
O 0.625 0.626 0.648
O 0.374 0.375 0.852



[11]
Crystalline CaTmAu at its relaxed geometry. Source: Alexandria, functional PBE.

## Properties
DOS at the Fermi energy = 1.8 states/eV/f.u.
excess energy over the best structure of this formula in the dataset = 0.000 eV per formula unit
formation enthalpy at 0 K = -0.55 eV per atom
calculated total energy = -3.80 eV/atom
density = 8.1 g/cm3

Cell: 3.626 3.626 6.865 Å, 105.31 105.31 90.00°
Atoms (fractional coordinates):
Ca 0.024 0.024 0.047
Tm 0.295 0.295 0.591
Au 0.681 0.681 0.362



[12]
Crystalline AgP2S2 at its relaxed geometry. Source: Alexandria, functional PBE.

## Properties
DOS at the Fermi energy = 4.5 states/eV/f.u.
excess energy over the best structure of this formula in the dataset = 1.343 eV per formula unit
calculated total energy = -3.45 eV/atom
energy relative to the elements, uncorrected = 0.939 eV/atom
density = 4.0 g/cm3

Cell: 4.586 4.586 4.562 Å, 90.00 90.00 90.00°
Atoms (fractional coordinates):
P 0.000 0.500 0.000
P 0.500 0.000 0.000
S 0.000 0.000 0.000
S 0.000 0.000 0.500
Ag 0.500 0.500 0.500